No. 1
# GdThTc2, relaxed, DFT GGA-PBE
# E_tot: -0.7729 Ry per atom
data_GdThTc2
_chemical_formula_sum 'Gd1 Th1 Tc2'
_symmetry_space_group_name_H-M 'P 1'
_symmetry_Int_Tables_number 1
_cell_length_a 3.503
_cell_length_b 3.503
_cell_length_c 7.011
_cell_angle_alpha 90.00
_cell_angle_beta 90.00
_cell_angle_gamma 90.00
loop_
_symmetry_equiv_pos_as_xyz
'x,y,z'
loop_
_atom_site_label
_atom_site_fract_x
_atom_site_fract_y
_atom_site_fract_z
Gd1 0.500 0.500 0.500
Tc1 0.000 0.000 0.768
Tc2 0.000 0.000 0.232
Th1 0.500 0.500 0.000


No. 2
# Y2GaHgB, relaxed, DFT GGA-PBE
# E_tot: -0.2598 Ry per atom
data_Y2GaHgB
_chemical_formula_sum 'Y2 Ga1 Hg1 B1'
_symmetry_space_group_name_H-M 'P 1'
_symmetry_Int_Tables_number 1
_cell_length_a 5.611
_cell_length_b 4.736
_cell_length_c 5.611
_cell_angle_alpha 90.00
_cell_angle_beta 90.00
_cell_angle_gamma 90.00
loop_
_symmetry_equiv_pos_as_xyz
'x,y,z'
loop_
_atom_site_label
_atom_site_fract_x
_atom_site_fract_y
_atom_site_fract_z
Y1 0.000 0.000 0.500
Y2 0.500 0.000 0.000
B1 0.500 0.500 0.500
Hg1 0.000 0.000 0.000
Ga1 0.000 0.500 0.000


No. 3
# Ta2CuAg, relaxed, DFT GGA-PBE
# E_tot: -0.5321 Ry per atom
data_Ta2CuAg
_chemical_formula_sum 'Ta2 Cu1 Ag1'
_symmetry_space_group_name_H-M 'P 1'
_symmetry_Int_Tables_number 1
_cell_length_a 5.062
_cell_length_b 5.062
_cell_length_c 5.062
_cell_angle_alpha 133.67
_cell_angle_beta 133.67
_cell_angle_gamma 67.60
loop_
_symmetry_equiv_pos_as_xyz
'x,y,z'
loop_
_atom_site_label
_atom_site_fract_x
_atom_site_fract_y
_atom_site_fract_z
Ag1 0.500 0.500 0.000
Cu1 0.750 0.250 0.500
Ta1 0.000 0.000 0.000
Ta2 0.250 0.750 0.500


No. 4
# Li2LaIn2, relaxed, DFT GGA-PBE
# E_tot: -0.2356 Ry per atom
data_Li2LaIn2
_chemical_formula_sum 'Li2 La1 In2'
_symmetry_space_group_name_H-M 'P 1'
_symmetry_Int_Tables_number 1
_cell_length_a 5.460
_cell_length_b 5.460
_cell_length_c 7.097
_cell_angle_alpha 130.52
_cell_angle_beta 130.52
_cell_angle_gamma 73.60
loop_
_symmetry_equiv_pos_as_xyz
'x,y,z'
loop_
_atom_site_label
_atom_site_fract_x
_atom_site_fract_y
_atom_site_fract_z
Li1 0.806 0.194 0.000
Li2 0.194 0.806 0.000
La1 0.000 0.000 0.500
In1 0.500 0.500 0.700
In2 0.500 0.500 0.300


The calculation returns the following formation enthalpy at 0 K values, one per record and in order: 0.042 1.053 0.423 -0.360 eV per atom.